CaHfCuAg2: relaxed, PBE.

```
5
Lattice="5.054 0.000 0.000 0.000 5.054 0.000 0.000 0.000 5.489" Properties=species:S:1:pos:R:3 pbc="T T T"
Ca 0.000 0.000 0.000
Hf 0.000 0.000 2.744
Cu 2.527 2.527 2.744
Ag 0.000 2.527 0.000
Ag 2.527 0.000 0.000
```

Values from the calculation:
E in eV per cell: -13.65
Volume in Å³/atom: 28.04
Formation enthalpy at 0 K in eV per atom: 1.62
Magnetic moment in μB/f.u.: 0.000
Excess energy over the best structure of this formula in the dataset in meV/atom: 1239



CaAcNd6Sm2: relaxed, PBE.

```
20
Lattice="4.671 -7.921 0.000 4.671 7.921 0.000 -1.213 0.000 9.984" Properties=species:S:1:pos:R:3 pbc="T T T"
Ca 3.761 6.399 7.488
Ca 4.368 -6.399 2.496
Ac 4.368 0.401 2.496
Ac 3.761 -0.401 7.488
Nd 3.225 6.232 3.789
Nd 2.554 3.688 1.764
Nd 5.510 6.232 1.203
Nd 3.431 2.899 5.514
Nd 4.091 2.899 9.463
Nd 6.181 3.688 3.228
Nd 1.947 -3.688 6.756
Nd 4.037 -2.899 0.522
Nd 4.698 -2.899 4.471
Nd 2.618 -6.232 8.781
Nd 5.574 -3.688 8.221
Nd 4.904 -6.232 6.195
Sm 1.129 0.880 9.549
Sm 1.735 -0.880 4.557
Sm 6.393 0.880 5.427
Sm 7.000 -0.880 0.435
```

Values from the calculation:
E in eV per cell: -85.78
Volume in Å³/atom: 36.94
Formation enthalpy at 0 K in eV per atom: 0.13
Magnetic moment in μB/f.u.: 0.000



AgHg2Pd: relaxed, PBE.

```
4
Lattice="0.000 3.360 3.360 3.360 0.000 3.360 3.360 3.360 0.000" Properties=species:S:1:pos:R:3 pbc="T T T"
Ag 0.000 0.000 0.000
Hg 1.680 1.680 1.680
Hg 5.040 5.040 5.040
Pd 3.360 3.360 3.360
```

Values from the calculation:
E in eV per cell: -8.71
Volume in Å³/atom: 18.96
Formation enthalpy at 0 K in eV per atom: -0.01
Magnetic moment in μB/f.u.: 0.000
Excess energy over the best structure of this formula in the dataset in meV/atom: 7



AgRhPbO4: relaxed, PBE.

```
14
Lattice="-3.155 3.448 4.667 3.155 -3.448 4.667 3.155 3.448 -4.667" Properties=species:S:1:pos:R:3 pbc="T T T"
Ag 0.000 1.724 1.365
Ag 3.155 1.724 3.302
Rh 1.578 1.724 -2.334
Rh 1.578 -1.724 2.334
Pb 3.155 0.000 0.000
Pb 0.000 0.000 4.667
O 3.155 -0.391 2.269
O 3.155 3.057 -2.269
O 1.656 1.724 -0.297
O 4.654 1.724 -0.297
O -1.499 1.724 4.964
O 1.499 1.724 4.964
O 0.000 0.391 6.936
O 0.000 3.839 2.398
```

Values from the calculation:
E in eV per cell: -77.07
Volume in Å³/atom: 14.51
Uncorrected formation energy in eV/f.u.: -4.79
Magnetic moment in μB/f.u.: 0.000



Nb2AgS4: relaxed, PBE.

```
7
Lattice="3.398 0.000 0.000 -1.699 2.942 0.000 0.000 0.000 13.971" Properties=species:S:1:pos:R:3 pbc="T T T"
Nb 0.000 0.000 0.000
Nb 0.000 1.962 7.431
Ag 0.000 1.962 3.994
S 0.000 0.000 5.855
S 0.000 0.000 8.947
S 0.000 1.962 1.559
S 0.000 1.962 12.458
```

Values from the calculation:
E in eV per cell: -45.69
Volume in Å³/atom: 19.95
Uncorrected formation energy in eV/f.u.: -6.19
Magnetic moment in μB/f.u.: 0.000



CuPRu2: relaxed, PBE.

```
4
Lattice="2.900 0.000 0.000 0.000 2.900 0.000 0.000 0.000 6.204" Properties=species:S:1:pos:R:3 pbc="T T T"
Cu 0.000 0.000 0.000
P 1.450 1.450 1.396
Ru 0.000 0.000 2.739
Ru 1.450 1.450 4.572
```

Values from the calculation:
E in eV per cell: -27.74
Volume in Å³/atom: 13.05
Formation enthalpy at 0 K in eV per atom: 0.08
Magnetic moment in μB/f.u.: 0.001